Here is crystalline LuFe2Si at its relaxed geometry from OQMD via LeMat-Bulk. Energies are from PBE.

E ... -6.70 eV per atom
Magnetic moment ... 19.344 μB per cell
ρ ... 8.73 g cm⁻³

a = 6.211 Å, b = 6.211 Å, c = 6.211 Å
α = 90.00°, β = 90.00°, γ = 90.00°
Fractional positions:
Lu  0.000  0.000  0.000
Lu  0.000  0.500  0.500
Lu  0.500  0.000  0.500
Lu  0.500  0.500  0.000
Fe  0.000  0.000  0.500
Fe  0.000  0.500  0.000
Fe  0.250  0.250  0.250
Fe  0.250  0.750  0.750
Fe  0.500  0.000  0.000
Fe  0.500  0.500  0.500
Fe  0.750  0.250  0.750
Fe  0.750  0.750  0.250
Si  0.250  0.250  0.750
Si  0.250  0.750  0.250
Si  0.750  0.250  0.250
Si  0.750  0.750  0.750

=====

Here is crystalline SmI4 at its relaxed geometry from OQMD via LeMat-Bulk. Energies are from PBE.

E ... -3.29 eV per atom
Magnetic moment ... 0.014 μB per cell
ρ ... 4.88 g cm⁻³

a = 7.866 Å, b = 8.236 Å, c = 8.273 Å
α = 72.18°, β = 62.44°, γ = 75.00°
Fractional positions:
Sm  0.158  0.002  0.191
Sm  0.842  0.998  0.809
I  0.062  0.708  0.567
I  0.112  0.754  0.005
I  0.334  0.107  0.476
I  0.442  0.248  0.886
I  0.558  0.752  0.114
I  0.666  0.893  0.524
I  0.888  0.246  0.995
I  0.938  0.292  0.433

=====

Here is crystalline YAgPO at its relaxed geometry from OQMD via LeMat-Bulk. Energies are from PBE.

E ... -6.15 eV per atom
Magnetic moment ... 0.003 μB per cell
ρ ... 4.89 g cm⁻³
E above lowest polymorph ... 316 meV/atom

a = 3.730 Å, b = 7.598 Å, c = 5.844 Å
α = 90.00°, β = 90.00°, γ = 90.00°
Fractional positions:
Y  0.000  0.208  0.000
Y  0.000  0.792  0.500
Ag  0.500  0.365  0.508
Ag  0.500  0.635  0.008
P  0.000  0.161  0.500
P  0.000  0.839  0.000
O  0.500  0.340  0.002
O  0.500  0.660  0.502

=====

Here is crystalline U3CuS6 at its relaxed geometry from OQMD via LeMat-Bulk. Energies are from PBE.

E ... -7.49 eV per atom
Magnetic moment ... 13.998 μB per cell
ρ ... 7.44 g cm⁻³

a = 8.333 Å, b = 8.333 Å, c = 6.360 Å
α = 90.00°, β = 90.00°, γ = 101.43°
Fractional positions:
U  0.106  0.894  0.500
U  0.224  0.426  0.403
U  0.426  0.224  0.903
U  0.574  0.776  0.403
U  0.776  0.574  0.903
U  0.894  0.106  0.000
Cu  0.301  0.699  0.850
Cu  0.699  0.301  0.350
S  0.058  0.594  0.678
S  0.130  0.195  0.701
S  0.195  0.130  0.201
S  0.274  0.726  0.213
S  0.406  0.942  0.678
S  0.467  0.533  0.706
S  0.533  0.467  0.206
S  0.594  0.058  0.178
S  0.726  0.274  0.713
S  0.805  0.870  0.701
S  0.870  0.805  0.201
S  0.942  0.406  0.178

=====

Here is crystalline Ge2Mo at its relaxed geometry from OQMD via LeMat-Bulk. Energies are from PBE.

E ... -5.52 eV per atom
Magnetic moment ... 0.000 μB per cell
ρ ... 2.39 g cm⁻³

a = 7.793 Å, b = 7.793 Å, c = 7.793 Å
α = 60.00°, β = 60.00°, γ = 60.00°
Fractional positions:
Ge  0.000  0.000  0.000
Ge  0.000  0.000  0.500
Ge  0.000  0.500  0.000
Ge  0.500  0.000  0.000
Mo  0.125  0.125  0.125
Mo  0.875  0.875  0.875

=====

Here is crystalline LiTmHgTe3 at its relaxed geometry from OQMD via LeMat-Bulk. Energies are from PBE.

E ... -3.46 eV per atom
Magnetic moment ... 0.005 μB per cell
ρ ... 6.73 g cm⁻³
E above lowest polymorph ... 7 meV/atom

a = 13.721 Å, b = 4.284 Å, c = 12.742 Å
α = 90.00°, β = 90.00°, γ = 90.00°
Fractional positions:
Li  0.114  0.250  0.012
Li  0.386  0.750  0.512
Li  0.614  0.250  0.488
Li  0.886  0.750  0.988
Tm  0.061  0.250  0.675
Tm  0.439  0.750  0.175
Tm  0.561  0.250  0.825
Tm  0.939  0.750  0.325
Hg  0.229  0.250  0.285
Hg  0.271  0.750  0.785
Hg  0.729  0.250  0.215
Hg  0.771  0.750  0.715
Te  0.066  0.750  0.853
Te  0.071  0.250  0.421
Te  0.226  0.750  0.131
Te  0.274  0.250  0.631
Te  0.429  0.750  0.921
Te  0.434  0.250  0.353
Te  0.566  0.750  0.647
Te  0.571  0.250  0.079
Te  0.726  0.750  0.369
Te  0.774  0.250  0.869
Te  0.929  0.750  0.579
Te  0.934  0.250  0.147

=====

Here is crystalline RbLaZnS3 at its relaxed geometry from OQMD via LeMat-Bulk. Energies are from PBE.

E ... -4.75 eV per atom
Magnetic moment ... 0.004 μB per cell
ρ ... 3.63 g cm⁻³

a = 8.547 Å, b = 4.172 Å, c = 10.339 Å
α = 90.00°, β = 106.87°, γ = 90.00°
Fractional positions:
Rb  0.243  0.250  0.213
Rb  0.757  0.750  0.787
La  0.192  0.750  0.637
La  0.808  0.250  0.363
Zn  0.426  0.250  0.894
Zn  0.574  0.750  0.106
S  0.035  0.750  0.355
S  0.304  0.750  0.948
S  0.432  0.250  0.673
S  0.568  0.750  0.327
S  0.696  0.250  0.052
S  0.965  0.250  0.645

=====

Here is crystalline Dy2AsIBr at its relaxed geometry from OQMD via LeMat-Bulk. Energies are from PBE.

E ... -5.00 eV per atom
Magnetic moment ... 0.007 μB per cell
ρ ... 6.39 g cm⁻³

a = 4.113 Å, b = 4.113 Å, c = 10.767 Å
α = 90.00°, β = 90.00°, γ = 120.00°
Fractional positions:
Dy  0.000  0.000  0.000
Dy  0.333  0.667  0.288
As  0.667  0.333  0.144
I  0.000  0.000  0.477
Br  0.333  0.667  0.835

=====

Here is crystalline Pm2Sn2Pt at its relaxed geometry from OQMD via LeMat-Bulk. Energies are from PBE.

E ... -5.64 eV per atom
Magnetic moment ... 0.005 μB per cell
ρ ... 9.30 g cm⁻³

a = 6.055 Å, b = 6.055 Å, c = 11.238 Å
α = 114.80°, β = 114.80°, γ = 44.63°
Fractional positions:
Pm  0.000  0.000  0.172
Pm  0.000  0.000  0.828
Pm  0.186  0.186  0.622
Pm  0.814  0.814  0.378
Sn  0.346  0.346  0.950
Sn  0.468  0.468  0.615
Sn  0.532  0.532  0.385
Sn  0.654  0.654  0.050
Pt  0.280  0.280  0.172
Pt  0.720  0.720  0.828

=====

Here is crystalline AcMoPd at its relaxed geometry from OQMD via LeMat-Bulk. Energies are from PBE.

E ... -6.16 eV per atom
Magnetic moment ... 15.366 μB per cell
ρ ... 8.62 g cm⁻³
Formation enthalpy at 0 K ... 547 meV per atom

a = 6.915 Å, b = 6.915 Å, c = 6.915 Å
α = 90.00°, β = 90.00°, γ = 90.00°
Fractional positions:
Ac  0.000  0.000  0.000
Ac  0.000  0.500  0.500
Ac  0.500  0.000  0.500
Ac  0.500  0.500  0.000
Mo  0.000  0.000  0.500
Mo  0.000  0.500  0.000
Mo  0.500  0.000  0.000
Mo  0.500  0.500  0.500
Pd  0.250  0.250  0.250
Pd  0.250  0.750  0.750
Pd  0.750  0.250  0.750
Pd  0.750  0.750  0.250

=====

Here is crystalline LaCoGe3 at its relaxed geometry from OQMD via LeMat-Bulk. Energies are from PBE.

E ... -5.80 eV per atom
Magnetic moment ... 0.003 μB per cell
ρ ... 7.32 g cm⁻³

a = 4.360 Å, b = 4.360 Å, c = 9.927 Å
α = 90.00°, β = 90.00°, γ = 90.00°
Fractional positions:
La  0.000  0.000  0.000
La  0.500  0.500  0.500
Co  0.000  0.000  0.665
Co  0.500  0.500  0.165
Ge  0.000  0.000  0.432
Ge  0.000  0.500  0.258
Ge  0.000  0.500  0.758
Ge  0.500  0.000  0.258
Ge  0.500  0.000  0.758
Ge  0.500  0.500  0.932